*w*
Crystalline Fe3HW at its relaxed geometry. Source: Alexandria, functional PBE-GGA.

Output
Its magnetization is 0.918 μB/atom. For the calculated volume, the calculation gives 15.33 A^3/atom. Its space group is Cmcm, No. 63. The mass density comes out at 7.63 g cm⁻³.

```
Fe3HW
1.0
3.008 -5.699 0.000
3.008 5.699 0.000
0.000 0.000 4.471
W Fe H
2 6 2
Cartesian
3.008 -3.450 3.354
3.008 3.450 1.118
4.831 -1.857 3.354
1.186 1.857 1.118
4.831 1.857 1.118
0.000 0.000 2.236
1.186 -1.857 3.354
0.000 0.000 0.000
3.008 1.546 1.118
3.008 -1.546 3.354
```



*x*
Crystalline Fe3HW at its relaxed geometry. Source: Alexandria, functional PBE-GGA.

Output
Its magnetization is 0.535 μB/atom. For the calculated volume, the calculation gives 10.81 A^3/atom. Its space group is Fd-3m, No. 227. The mass density comes out at 10.83 g cm⁻³.

```
Fe3HW
1.0
4.141 2.227 4.825
-2.258 0.730 6.305
2.100 -4.194 4.837
Fe H W
12 4 4
Cartesian
-0.601 0.197 3.361
2.593 -0.816 4.622
3.334 1.158 6.012
2.059 -2.850 6.019
4.644 -1.460 9.031
-0.661 0.223 6.936
0.188 -1.379 5.179
0.650 -2.395 9.955
0.955 1.034 5.174
1.037 -1.653 2.809
1.924 1.613 9.947
1.804 0.760 2.805
-0.631 0.210 5.148
1.548 -2.251 4.414
2.569 0.959 4.408
0.498 -0.155 1.996
2.489 -0.773 9.979
1.439 1.324 7.561
0.419 -1.887 7.567
3.619 -1.138 6.826
```



*x* has the most favorable energy; the next structure is 366 meV per atom above.



*w*
Crystalline AlCd2In at its relaxed geometry. Source: Alexandria, functional PBE-GGA.

Output
Its magnetization is 0.000 μB/atom. For the calculated volume, the calculation gives 22.48 A^3/atom. Its space group is R3m, No. 160. The mass density comes out at 6.77 g cm⁻³.

```
AlCd2In
1.0
-8.436 -0.597 5.049
-6.691 -2.875 6.632
-6.412 0.281 7.472
Al Cd In
1 2 1
Cartesian
-16.089 -2.383 14.307
-0.082 -0.012 0.073
-5.431 -0.804 4.830
-10.706 -1.586 9.520
```



*x*
Crystalline AlCd2In at its relaxed geometry. Source: Alexandria, functional PBE-GGA.

Output
Its magnetization is 0.000 μB/atom. For the calculated volume, the calculation gives 22.50 A^3/atom. Its space group is P4/mmm, No. 123. The mass density comes out at 6.76 g cm⁻³.

```
AlCd2In
1.0
3.207 0.000 0.000
0.000 3.207 0.000
0.000 0.000 8.753
Al Cd In
1 2 1
Cartesian
1.603 1.603 0.000
0.000 0.000 2.010
0.000 0.000 6.743
1.603 1.603 4.376
```



*w* has the most favorable energy; the next structure is 19 meV per atom above.



*w*
Crystalline B2C at its relaxed geometry. Source: Alexandria, functional PBE-GGA.

Output
Its magnetization is 0.000 μB/atom. For the calculated volume, the calculation gives 8.08 A^3/atom. Its space group is P3m1, No. 156. The mass density comes out at 2.31 g cm⁻³.

```
B2C
1.0
0.036 0.447 2.657
-2.343 -0.029 -1.329
-1.268 -15.147 2.563
B C
8 4
Cartesian
-2.144 -6.962 1.199
-1.704 -11.018 3.241
-1.128 -4.143 2.078
-2.466 -10.813 1.851
-1.165 -13.914 2.354
-0.456 -5.443 0.921
-1.755 -2.319 0.414
-1.840 -12.650 3.517
-1.614 -0.632 0.128
-0.027 -0.326 0.055
-1.003 -2.649 1.825
-0.585 -6.981 1.181
```



*x*
Crystalline B2C at its relaxed geometry. Source: Alexandria, functional PBE-GGA.

Output
Its magnetization is 0.000 μB/atom. For the calculated volume, the calculation gives 7.52 A^3/atom. Its space group is Cc, No. 9. The mass density comes out at 2.48 g cm⁻³.

```
B2C
1.0
-1.548 -4.332 1.722
-0.561 0.561 -4.848
3.131 -2.662 -1.512
C B
4 8
Cartesian
1.486 -2.015 -3.709
0.803 -4.439 -3.999
-0.543 -2.980 0.130
-0.917 -3.876 -2.211
-1.542 -3.950 -0.769
0.623 -1.827 -2.367
0.017 -4.933 -2.753
1.978 -4.197 -1.728
-1.373 -2.735 -3.162
2.248 -3.622 -3.300
0.482 -3.010 -4.574
0.503 -3.179 -1.351
```



*x* has the most favorable energy; the next structure is 109 meV per atom above.